Record 1
This record from OQMD via LeMat-Bulk describes a relaxed structure of AcHfAu. The functional is GGA-PBE.

Computed properties:
For the energy of formation from the pure elements, the calculation gives 79.32 kJ per mole of atoms. The raw total energy is -4.95 eV/atom.

Structure (CIF):
```
data_AcHfAu
_chemical_formula_sum 'Ac4 Hf4 Au4'
_space_group_name_H-M_alt 'F -4 3 m'
_space_group_IT_number 216
_space_group_name_Hall 'F -4 2 3'
_cell_length_a 7.134
_cell_length_b 7.134
_cell_length_c 7.134
_cell_angle_alpha 90.00
_cell_angle_beta 90.00
_cell_angle_gamma 90.00
loop_
_atom_site_label
_atom_site_fract_x
_atom_site_fract_y
_atom_site_fract_z
Ac1 0.000 0.000 0.000
Hf1 0.250 0.250 0.250
Au1 0.250 0.250 0.750
```



Record 2
This record from OQMD via LeMat-Bulk describes a relaxed structure of BaHf2Mo. The functional is GGA-PBE.

Computed properties:
The raw total energy is -7.18 eV/atom.

Structure (CIF):
```
data_BaHf2Mo
_chemical_formula_sum 'Ba4 Hf8 Mo4'
_space_group_name_H-M_alt 'F -4 3 m'
_space_group_IT_number 216
_space_group_name_Hall 'F -4 2 3'
_cell_length_a 7.219
_cell_length_b 7.219
_cell_length_c 7.219
_cell_angle_alpha 90.00
_cell_angle_beta 90.00
_cell_angle_gamma 90.00
loop_
_atom_site_label
_atom_site_fract_x
_atom_site_fract_y
_atom_site_fract_z
Ba1 0.000 0.000 0.000
Hf1 0.000 0.000 0.500
Hf2 0.250 0.250 0.750
Mo1 0.250 0.250 0.250
```



Record 3
This record from OQMD via LeMat-Bulk describes a relaxed structure of Zr5Be. The functional is GGA-PBE.

Computed properties:
The raw total energy is -6.90 eV/atom.

Structure (CIF):
```
data_Zr5Be
_chemical_formula_sum 'Zr5 Be1'
_space_group_name_H-M_alt 'P 6/m m m'
_space_group_IT_number 191
_space_group_name_Hall '-P 6 2'
_cell_length_a 5.7734
_cell_length_b 5.7734
_cell_length_c 4.9999
_cell_angle_alpha 90.00
_cell_angle_beta 90.00
_cell_angle_gamma 120.00
loop_
_atom_site_label
_atom_site_fract_x
_atom_site_fract_y
_atom_site_fract_z
Zr1 0.0000 0.5000 0.0000
Zr2 0.3333 0.6667 0.5000
Be1 0.0000 0.0000 0.5000
```



Q: Which value of raw total energy does entry 3 give?
A: -6.90 eV/atom



Q: Among the records above, which one has the lowest raw total energy?
A: BaHf2Mo



Q: Look up the raw total energy of the first one.
A: -4.95 eV/atom



Q: Which value of raw total energy does entry 2 give?
A: -7.18 eV/atom